! Li5Mg2ZnCu2 (PBE, relaxed); values from VASP
! Formation energy ... -0.036 eV/atom
! Final energy ... -0.166 Ry/atom
! SG ... P4/mbm (127)
&SYSTEM
  ibrav = 0, nat = 20, ntyp = 4
/
ATOMIC_SPECIES
Li 6.94 Li.upf
Mg 24.30 Mg.upf
Zn 65.41 Zn.upf
Cu 63.55 Cu.upf
ATOMIC_POSITIONS crystal
Li 0.000 0.500 0.000
Li 0.063 0.204 0.000
Li 0.204 0.937 0.000
Li 0.296 0.437 0.000
Li 0.437 0.704 0.000
Li 0.500 0.000 0.000
Li 0.563 0.296 0.000
Li 0.704 0.563 0.000
Li 0.796 0.063 0.000
Li 0.937 0.796 0.000
Mg 0.185 0.685 0.500
Mg 0.315 0.185 0.500
Mg 0.685 0.815 0.500
Mg 0.815 0.315 0.500
Zn 0.000 0.000 0.500
Zn 0.500 0.500 0.500
Cu 0.106 0.394 0.500
Cu 0.394 0.894 0.500
Cu 0.606 0.106 0.500
Cu 0.894 0.606 0.500
CELL_PARAMETERS angstrom
8.968 0.000 0.000
0.000 8.968 0.000
0.000 0.000 4.156